No. 1
A plane-wave DFT calculation with GGA-PBE was carried out for a relaxed Fe2TcPt crystal.

Lattice parameters (Å, degrees): 2.7472 2.7472 7.0804 90.00 90.00 90.00
Space group P4mm (No. 99)
Inequivalent atoms, fractional coordinates:
Fe: 0.0000 0.0000 0.0000 x1
Fe: 0.5000 0.5000 0.2173 x1
Tc: 0.5000 0.5000 0.7680 x1
Pt: 0.0000 0.0000 0.4812 x1

E above lowest polymorph = 0.000 eV per atom
E = -8.383 eV/atom
mass density = 12.579 g/cm3


No. 2
A plane-wave DFT calculation with GGA-PBE was carried out for a relaxed UGa5Rh6 crystal.

Lattice parameters (Å, degrees): 4.1968 12.6936 6.8068 90.00 90.00 90.00
Space group Cmmm (No. 65)
Inequivalent atoms, fractional coordinates:
U: 0.0000 0.0000 0.0000 x2
Ga: 0.0000 0.0000 0.5000 x2
Ga: 0.0000 0.3235 0.0000 x4
Ga: 0.0000 0.3349 0.5000 x4
Rh: 0.0000 0.1689 0.2638 x8
Rh: 0.0000 0.5000 0.2709 x4

E = -6.504 eV/atom
mass density = 11.028 g/cm3